1.
Compound: AgW2Cl
Source: Alexandria
Functional: meta-GGA SCAN
Structure: PBEsol geometry

- Energy above the lowest structure with this stoichiometry: 714 meV per atom
- Density of states at the Fermi level: 2.7 states/eV/f.u.

abc: 5.678 5.678 2.749
angles: 100.73 100.73 124.26
Positions (direct):
Ag  0.000  0.000  0.000
W  0.000  0.500  0.000
W  0.500  0.000  0.000
Cl  0.500  0.500  0.000

=====

2.
Compound: AgWCl2
Source: Alexandria
Functional: meta-GGA SCAN
Structure: PBEsol geometry

- Energy above the lowest structure with this stoichiometry: 0 meV per atom
- Density of states at the Fermi level: 2.2 states/eV/f.u.

abc: 6.578 6.578 6.578
angles: 154.66 135.88 51.56
Positions (direct):
Ag  0.000  0.000  0.000
W  0.500  0.500  0.000
Cl  0.338  0.838  0.500
Cl  0.662  0.162  0.500

=====

3.
Compound: AgW2Cl
Source: Alexandria
Functional: meta-GGA SCAN
Structure: PBEsol geometry

- Energy above the lowest structure with this stoichiometry: 1053 meV per atom
- Density of states at the Fermi level: 2.4 states/eV/f.u.

abc: 3.753 3.753 4.760
angles: 90.00 90.00 90.00
Positions (direct):
Ag  0.000  0.000  0.000
W  0.000  0.500  0.500
W  0.500  0.000  0.500
Cl  0.500  0.500  0.000

=====

4.
Compound: YAg2Cl
Source: Alexandria
Functional: meta-GGA SCAN
Structure: PBEsol geometry

- Energy above the lowest structure with this stoichiometry: 175 meV per atom
- Density of states at the Fermi level: 3.4 states/eV/f.u.

abc: 3.989 4.000 5.422
angles: 90.00 90.00 90.00
Positions (direct):
Y  0.000  0.000  0.000
Ag  0.500  0.500  0.247
Ag  0.500  0.500  0.753
Cl  0.000  0.000  0.500

=====

5.
Compound: YAgCl2
Source: Alexandria
Functional: meta-GGA SCAN
Structure: PBEsol geometry

- Energy above the lowest structure with this stoichiometry: 351 meV per atom
- Density of states at the Fermi level: 1.1 states/eV/f.u.

abc: 9.417 9.417 9.417
angles: 151.72 151.72 40.43
Positions (direct):
Y  0.000  0.000  0.000
Y  0.750  0.250  0.500
Ag  0.250  0.750  0.500
Ag  0.500  0.500  0.000
Cl  0.100  0.625  0.975
Cl  0.375  0.350  0.475
Cl  0.650  0.125  0.025
Cl  0.875  0.900  0.525

=====

6.
Compound: YAg2Cl
Source: Alexandria
Functional: meta-GGA SCAN
Structure: PBEsol geometry

- Energy above the lowest structure with this stoichiometry: 0 meV per atom
- Density of states at the Fermi level: 1.9 states/eV/f.u.

abc: 6.073 6.073 6.073
angles: 143.09 143.09 53.20
Positions (direct):
Y  0.000  0.000  0.000
Ag  0.250  0.750  0.500
Ag  0.750  0.250  0.500
Cl  0.500  0.500  0.000

=====

7.
Compound: YAgCl2
Source: Alexandria
Functional: meta-GGA SCAN
Structure: PBEsol geometry

- Energy above the lowest structure with this stoichiometry: 155 meV per atom
- Density of states at the Fermi level: 0.4 states/eV/f.u.

abc: 3.536 3.536 7.133
angles: 90.00 90.00 90.00
Positions (direct):
Y  0.000  0.000  0.000
Ag  0.500  0.500  0.231
Cl  0.000  0.000  0.388
Cl  0.500  0.500  0.764

=====

8.
Compound: YAgCl2
Source: Alexandria
Functional: meta-GGA SCAN
Structure: PBEsol geometry

- Energy above the lowest structure with this stoichiometry: 402 meV per atom

abc: 4.894 4.894 4.894
angles: 60.00 60.00 60.00
Positions (direct):
Y  0.000  0.000  0.000
Ag  0.750  0.750  0.750
Cl  0.250  0.250  0.250
Cl  0.500  0.500  0.500

=====

9.
Compound: YAgCl3
Source: Alexandria
Functional: meta-GGA SCAN
Structure: PBEsol geometry

- Density of states at the Fermi level: 1.2 states/eV/f.u.

abc: 5.193 5.193 5.193
angles: 90.00 90.00 90.00
Positions (direct):
Y  0.000  0.000  0.000
Ag  0.500  0.500  0.500
Cl  0.000  0.000  0.500
Cl  0.000  0.500  0.000
Cl  0.500  0.000  0.000

=====

10.
Compound: YAgCl2
Source: Alexandria
Functional: meta-GGA SCAN
Structure: PBEsol geometry

- Energy above the lowest structure with this stoichiometry: 0 meV per atom
- Density of states at the Fermi level: 0.1 states/eV/f.u.

abc: 3.617 7.442 7.442
angles: 30.39 90.00 90.00
Positions (direct):
Y  0.000  0.000  0.000
Ag  0.500  0.399  0.399
Cl  0.000  0.819  0.819
Cl  0.500  0.132  0.132

=====

11.
Compound: YAg3Cl6
Source: Alexandria
Functional: meta-GGA SCAN
Structure: PBEsol geometry

- Density of states at the Fermi level: 0.0 states/eV/f.u.

abc: 7.172 7.172 7.172
angles: 56.37 56.37 56.37
Positions (direct):
Y  0.000  0.000  0.000
Ag  0.194  0.194  0.194
Ag  0.500  0.500  0.500
Ag  0.806  0.806  0.806
Cl  0.101  0.391  0.765
Cl  0.235  0.899  0.609
Cl  0.391  0.765  0.101
Cl  0.609  0.235  0.899
Cl  0.765  0.101  0.391
Cl  0.899  0.609  0.235

=====

12.
Compound: YZrAg2Cl
Source: Alexandria
Functional: meta-GGA SCAN
Structure: PBEsol geometry

- Density of states at the Fermi level: 2.8 states/eV/f.u.

abc: 5.254 5.254 4.826
angles: 90.00 90.00 90.00
Positions (direct):
Y  0.000  0.000  0.000
Zr  0.500  0.500  0.500
Ag  0.000  0.500  0.000
Ag  0.500  0.000  0.000
Cl  0.000  0.000  0.500

=====

13.
Compound: ZnAg2Cl
Source: Alexandria
Functional: meta-GGA SCAN
Structure: PBEsol geometry

- Energy above the lowest structure with this stoichiometry: 189 meV per atom
- Density of states at the Fermi level: 0.8 states/eV/f.u.

abc: 5.959 5.959 5.959
angles: 143.94 143.94 51.91
Positions (direct):
Zn  0.000  0.000  0.000
Ag  0.500  0.500  0.000
Ag  0.750  0.250  0.500
Cl  0.250  0.750  0.500

=====

14.
Compound: ZnAg3Cl
Source: Alexandria
Functional: meta-GGA SCAN
Structure: PBEsol geometry

- Density of states at the Fermi level: 3.1 states/eV/f.u.

abc: 4.805 4.805 4.805
angles: 90.00 90.00 90.00
Positions (direct):
Zn  0.000  0.000  0.000
Ag  0.000  0.000  0.500
Ag  0.000  0.500  0.000
Ag  0.500  0.000  0.000
Cl  0.500  0.500  0.500

=====

15.
Compound: ZnAg2Cl
Source: Alexandria
Functional: meta-GGA SCAN
Structure: PBEsol geometry

- Energy above the lowest structure with this stoichiometry: 0 meV per atom
- Density of states at the Fermi level: 0.9 states/eV/f.u.

abc: 3.097 3.053 7.569
angles: 90.00 90.02 90.00
Positions (direct):
Zn  0.000  0.000  0.000
Ag  0.000  0.000  0.546
Ag  0.500  0.500  0.790
Cl  0.002  0.500  0.246

=====

| no. | electronic total energy (eV per atom) | ΔE_f (raw) (eV/atom) |
| --- | --- | --- |
| 1 | -43.566 | 1.114 |
| 2 | -29.190 | 0.063 |
| 3 | -43.227 | 1.453 |
| 4 | -25.061 | -0.422 |
| 5 | -19.830 | -1.039 |
| 6 | -25.236 | -0.597 |
| 7 | -20.026 | -1.235 |
| 8 | -19.779 | -0.988 |
| 9 | -18.106 | -1.477 |
| 10 | -20.182 | -1.390 |
| 11 | -18.317 | -1.336 |
| 12 | -25.434 | 0.417 |
| 13 | -21.038 | 0.018 |
| 14 | -22.679 | 0.440 |
| 15 | -21.228 | -0.171 |